This record from Alexandria describes crystalline Tb2HfN at its relaxed geometry. The functional is PBE-GGA.

```
Tb2HfN
1.0
1.6757 0.9675 9.1488
-1.6757 0.9675 9.1488
0.0000 -1.9350 9.1488
Tb Hf N
2 1 1
Direct
0.1168 0.1168 0.1168 Tb
0.8832 0.8832 0.8832 Tb
0.0000 0.0000 0.0000 Hf
0.5000 0.5000 0.5000 N
```

Values from the calculation:
Symmetry: R-3m (166)
Electronic total energy (eV per atom): -7.3526
Energy relative to the elements, uncorrected (eV/atom): -0.468
Crystal system: trigonal
DOS at the Fermi energy (states/eV/cell): 4.57
Theoretical density (g/cm3): 9.5